## SrMnIn2 (PBE)

Data for SrMnIn2 after structural relaxation.

Cell lengths 7.4917, 7.4917, 7.4917 Å; angles 90.00, 90.00, 90.00 degrees
Last column: nearest neighbours and their distance in Å.
Space group F-43m (No. 216)
Asymmetric unit:
Sr1 0.0000 0.0000 0.0000  4 In 3.24, 4 Mn 3.24
Mn1 0.2500 0.2500 0.7500  4 Sr 3.24, 4 In 3.24
In1 0.0000 0.0000 0.5000  4 Mn 3.24, 4 In 3.24
In2 0.2500 0.2500 0.2500  4 In 3.24, 4 Sr 3.24

Properties
VASP energy = -3.92 eV per atom
formation energy from the elements = 0.16 eV per atom